A plane-wave DFT calculation with PBE was carried out for a geometry-optimized ReAs3O structure.

a b c (Å): 4.2515 4.2515 4.2515
angles (deg): 90.00 90.00 90.00
With the nearest neighbours (Å) after each atom.
Sites, in units of the cell vectors:
Re (0.0000, 0.0000, 0.0000)  12 As 3.01
As (0.0000, 0.5000, 0.5000)  2 O 2.13
As (0.5000, 0.0000, 0.5000)  2 O 2.13
As (0.5000, 0.5000, 0.0000)  2 O 2.13
O (0.5000, 0.5000, 0.5000)  6 As 2.13

Energy relative to the lowest polymorph listed for this composition, meV/atom: 0.0
Crystal system: cubic
ΔE_f (raw), eV per atom: 0.6316
Electronic total energy, eV/cell: -28.2
Calculated density, kg/m3: 9226



A plane-wave DFT calculation with PBE was carried out for a geometry-optimized Na2AlO structure.

a b c (Å): 9.8343 9.8343 3.6655
angles (deg): 90.00 90.00 90.00
With the nearest neighbours (Å) after each atom.
Sites, in units of the cell vectors:
Na (0.0957, 0.2500, 0.1250)  2 O 2.67, 2 Al 2.97
Na (0.2500, 0.5957, 0.3750)  2 O 2.67, 2 Al 2.97
Na (0.2500, 0.9043, 0.8750)  2 O 2.67, 2 Al 2.97
Na (0.4043, 0.2500, 0.6250)  2 O 2.67, 2 Al 2.97
Na (0.5957, 0.7500, 0.6250)  2 O 2.67, 2 Al 2.97
Na (0.7500, 0.0957, 0.8750)  2 O 2.67, 2 Al 2.97
Na (0.7500, 0.4043, 0.3750)  2 O 2.67, 2 Al 2.97
Na (0.9043, 0.7500, 0.1250)  2 O 2.67, 2 Al 2.97
Al (0.0000, 0.0000, 0.5000)  2 O 1.83
Al (0.0000, 0.5000, 0.7500)  2 O 1.83
Al (0.5000, 0.0000, 0.2500)  2 O 1.83
Al (0.5000, 0.5000, 0.0000)  2 O 1.83
O (0.0000, 0.0000, 0.0000)  2 Al 1.83
O (0.0000, 0.5000, 0.2500)  2 Al 1.83
O (0.5000, 0.0000, 0.7500)  2 Al 1.83
O (0.5000, 0.5000, 0.5000)  2 Al 1.83

Energy relative to the lowest polymorph listed for this composition, meV/atom: 0.0
Crystal system: tetragonal
ΔE_f (raw), eV per atom: -0.7242
Electronic total energy, eV/cell: -56.9
Calculated density, kg/m3: 1667



A plane-wave DFT calculation with PBE was carried out for a geometry-optimized SrMg11Cd structure.

a b c (Å): 7.9231 7.9231 7.8930
angles (deg): 97.98 97.98 135.70
With the nearest neighbours (Å) after each atom.
Sites, in units of the cell vectors:
Sr (0.0000, 0.0000, 0.0000)  18 Mg 3.68-3.96, 2 Cd 3.98
Mg (0.0000, 0.0000, 0.5000)  2 Cd 2.99, 8 Mg 3.02-3.15
Mg (0.0000, 0.5000, 0.0000)  10 Mg 2.99-3.20
Mg (0.0028, 0.6500, 0.6441)  8 Mg 3.02-3.31, 1 Cd 3.19
Mg (0.2857, 0.5026, 0.7796)  1 Cd 2.97, 9 Mg 3.02-3.31
Mg (0.3500, 0.9972, 0.3559)  8 Mg 3.02-3.31, 1 Cd 3.19
Mg (0.4974, 0.7143, 0.2204)  1 Cd 2.97, 9 Mg 3.02-3.31
Mg (0.5000, 0.0000, 0.0000)  10 Mg 2.99-3.20
Mg (0.5026, 0.2857, 0.7796)  1 Cd 2.97, 9 Mg 3.02-3.31
Mg (0.6500, 0.0028, 0.6441)  8 Mg 3.02-3.31, 1 Cd 3.19
Mg (0.7143, 0.4974, 0.2204)  1 Cd 2.97, 9 Mg 3.02-3.31
Mg (0.9972, 0.3500, 0.3559)  8 Mg 3.02-3.31, 1 Cd 3.19
Cd (0.5000, 0.5000, 0.5000)  10 Mg 2.97-3.19

Crystal system: monoclinic
Electronic total energy, eV/cell: -21.0
Formation energy from the elements, eV/f.u.: -0.836
Calculated density, kg/m3: 2412



A plane-wave DFT calculation with PBE was carried out for a geometry-optimized BaBeO3 structure.

a b c (Å): 3.8364 3.8364 3.8364
angles (deg): 90.00 90.00 90.00
With the nearest neighbours (Å) after each atom.
Sites, in units of the cell vectors:
Ba (0.0000, 0.0000, 0.0000)  12 O 2.71
Be (0.5000, 0.5000, 0.5000)  6 O 1.92
O (0.0000, 0.5000, 0.5000)  2 Be 1.92
O (0.5000, 0.0000, 0.5000)  2 Be 1.92
O (0.5000, 0.5000, 0.0000)  2 Be 1.92

Crystal system: cubic
ΔE_f (raw), eV per atom: -1.5984
Electronic total energy, eV/cell: -28.5
Calculated density, kg/m3: 5715



A plane-wave DFT calculation with PBE was carried out for a geometry-optimized InFe2I6 structure.

a b c (Å): 10.4495 10.4495 7.5276
angles (deg): 97.85 97.85 86.87
With the nearest neighbours (Å) after each atom.
Sites, in units of the cell vectors:
In (0.1196, 0.8804, 0.7500)  6 I 3.36-3.58
In (0.8804, 0.1196, 0.2500)  6 I 3.36-3.58
Fe (0.2225, 0.3755, 0.7180)  4 I 2.54-2.65
Fe (0.3755, 0.2225, 0.2180)  4 I 2.54-2.65
Fe (0.6245, 0.7775, 0.7820)  4 I 2.54-2.65
Fe (0.7775, 0.6245, 0.2820)  4 I 2.54-2.65
I (0.0455, 0.2082, 0.6713)  1 Fe 2.57
I (0.1502, 0.5873, 0.8904)  1 Fe 2.54
I (0.2082, 0.0455, 0.1713)  1 Fe 2.57
I (0.2852, 0.4313, 0.4082)  2 Fe 2.64-2.65
I (0.4127, 0.8498, 0.6096)  1 Fe 2.54
I (0.4313, 0.2852, 0.9082)  2 Fe 2.64-2.65
I (0.5687, 0.7148, 0.0918)  2 Fe 2.64-2.65
I (0.5873, 0.1502, 0.3904)  1 Fe 2.54
I (0.7148, 0.5687, 0.5918)  2 Fe 2.64-2.65
I (0.7918, 0.9545, 0.8287)  1 Fe 2.57
I (0.8498, 0.4127, 0.1096)  1 Fe 2.54
I (0.9545, 0.7918, 0.3287)  1 Fe 2.57

Crystal system: monoclinic
ΔE_f (raw), eV per atom: -0.2078
Electronic total energy, eV/cell: -61.7
Calculated density, kg/m3: 4070



A plane-wave DFT calculation with PBE was carried out for a geometry-optimized Co2SbPt structure.

a b c (Å): 4.0068 4.0068 7.1445
angles (deg): 90.00 90.00 90.00
With the nearest neighbours (Å) after each atom.
Sites, in units of the cell vectors:
Co (0.0000, 0.5000, 0.2500)  4 Sb 2.68, 4 Pt 2.68, 4 Co 2.83
Co (0.0000, 0.5000, 0.7500)  4 Sb 2.68, 4 Pt 2.68, 4 Co 2.83
Co (0.5000, 0.0000, 0.2500)  4 Sb 2.68, 4 Pt 2.68, 4 Co 2.83
Co (0.5000, 0.0000, 0.7500)  4 Sb 2.68, 4 Pt 2.68, 4 Co 2.83
Sb (0.0000, 0.0000, 0.0000)  8 Co 2.68, 4 Pt 2.83
Sb (0.5000, 0.5000, 0.5000)  8 Co 2.68, 4 Pt 2.83
Pt (0.0000, 0.0000, 0.5000)  8 Co 2.68, 4 Sb 2.83
Pt (0.5000, 0.5000, 0.0000)  8 Co 2.68, 4 Sb 2.83

Crystal system: tetragonal
ΔE_f (raw), eV per atom: 0.0153
Electronic total energy, eV/cell: -48.6
Calculated density, kg/m3: 12587



calculated density of number 6 (Co2SbPt)?
12587 kg/m3



Among the records above, which one has the lowest calculated density?
Na2AlO